1.
## Tb3NdHo2Er6 (PBE)

Data for a relaxed Tb3NdHo2Er6 crystal.

a = 6.123 Å, b = 6.123 Å, c = 11.704 Å
α = 94.99°, β = 94.99°, γ = 119.95°
Atoms (fractional coordinates):
Tb (0.167, 0.833, 0.500)
Tb (0.500, 0.500, 0.500)
Tb (0.833, 0.167, 0.500)
Er (0.418, 0.084, 0.251)
Er (0.916, 0.582, 0.749)
Er (0.750, 0.750, 0.251)
Er (0.582, 0.916, 0.749)
Er (0.084, 0.418, 0.251)
Er (0.250, 0.250, 0.749)
Nd (0.000, 0.000, 0.000)
Ho (0.333, 0.667, 0.000)
Ho (0.667, 0.333, 0.000)

Computed properties:
Space group: No. 12
Total magnetization: 0.0 Bohr magnetons per cell
ρ: 8.669 g/cm³
Formation energy: 1.80 kJ/mol of atoms
E: -4.58 eV/atom



2.
## InSnMo2Pd (PBE)

Data for a relaxed InSnMo2Pd crystal.

a = 5.075 Å, b = 4.841 Å, c = 5.075 Å
α = 90.00°, β = 90.00°, γ = 90.00°
Atoms (fractional coordinates):
Mo (0.500, 0.000, 0.000)
Mo (0.000, 0.000, 0.500)
Sn (0.500, 0.500, 0.500)
In (0.000, 0.000, 0.000)
Pd (0.000, 0.500, 0.000)

Computed properties:
Space group: No. 123
Total magnetization: 4.8 Bohr magnetons per cell
ρ: 7.082 g/cm³
Formation energy: 155.93 kJ/mol of atoms
E: -5.10 eV/atom



3.
## ZrMoAu2 (PBE)

Data for a relaxed ZrMoAu2 crystal.

a = 9.930 Å, b = 9.930 Å, c = 9.930 Å
α = 16.98°, β = 16.98°, γ = 16.98°
Atoms (fractional coordinates):
Au (0.997, 0.997, 0.997)
Au (0.503, 0.503, 0.503)
Zr (0.750, 0.750, 0.750)
Mo (0.250, 0.250, 0.250)

Computed properties:
Space group: No. 166
Total magnetization: 0.0 Bohr magnetons per cell
Distance to the lowest polymorph of the same formula: 280.5 meV/atom
ρ: 13.240 g/cm³
Formation energy: 14.15 kJ/mol of atoms
E: -6.34 eV/atom